1.
## Y4RuBr5 (PBE-GGA)

Data for an optimized crystal structure of Y4RuBr5.

a b c (Å): 3.9878 8.7147 9.4135
angles (deg): 103.40 102.23 90.00
Positions (direct):
Ru1 0.5000 0.0000 0.0000
Y1 0.6456 0.0783 0.2912
Y2 0.0023 0.2205 0.0046
Y3 0.9977 0.7795 0.9954
Br1 0.8300 0.6687 0.6599
Y4 0.3544 0.9217 0.7088
Br2 0.1760 0.8463 0.3520
Br3 0.5000 0.5000 0.0000
Br4 0.8240 0.1537 0.6480
Br5 0.1700 0.3313 0.3401

Properties
polymorph energy (0 for the lowest one) = 52.6 meV/atom
V = 310.6 Å³/cell

2.
## Mg5B3O9F (PBE-GGA)

Data for an optimized crystal structure of Mg5B3O9F.

a b c (Å): 4.5724 10.1808 15.0009
angles (deg): 90.00 90.00 90.00
Positions (direct):
Mg1 0.5109 0.6520 0.1487
O1 0.7432 0.4455 0.5545
O2 0.2432 0.0545 0.0545
O3 0.2568 0.5545 0.4455
Mg2 0.4995 0.3686 0.0572
O4 0.2983 0.2995 0.1713
O5 0.6931 0.1842 0.4544
Mg3 0.9995 0.1314 0.5572
O6 0.2568 0.5545 0.0545
Mg4 0.0109 0.8480 0.6487
B1 0.5349 0.0744 0.4241
O7 0.6931 0.1842 0.0456
B2 0.4651 0.9256 0.5759
O8 0.1878 0.5073 0.6350
O9 0.6878 0.9927 0.1350
O10 0.7017 0.7005 0.6713
O11 0.2017 0.7995 0.3287
B3 0.0458 0.7780 0.2500
Mg5 0.5023 0.0802 0.7500
Mg6 0.9891 0.1520 0.3513
O12 0.2983 0.2995 0.3287
O13 0.3122 0.0073 0.6350
F1 0.8159 0.9423 0.7500
B4 0.5349 0.0744 0.0759
O14 0.7514 0.7472 0.2500
Mg7 0.4995 0.3686 0.4428
O15 0.8122 0.4927 0.1350
F2 0.1841 0.0577 0.2500
O16 0.6878 0.9927 0.3650
Mg8 0.9995 0.1314 0.9428
O17 0.7486 0.2472 0.2500
O18 0.3122 0.0073 0.8650
O19 0.2514 0.7528 0.7500
O20 0.7568 0.9455 0.5545
O21 0.1931 0.3158 0.9544
Mg9 0.0109 0.8480 0.8513
O22 0.7983 0.2005 0.6713
Mg10 0.5109 0.6520 0.3513
O23 0.8069 0.6842 0.0456
B5 0.0349 0.4256 0.9241
O24 0.8069 0.6842 0.4544
O25 0.2432 0.0545 0.4455
O26 0.1878 0.5073 0.8650
Mg11 0.4977 0.9198 0.2500
Mg12 0.0023 0.4198 0.2500
B6 0.9651 0.5744 0.0759
Mg13 0.5005 0.6314 0.9428
Mg14 0.0005 0.8686 0.4428
F3 0.6841 0.4423 0.7500
B7 0.4542 0.2780 0.2500
Mg15 0.0005 0.8686 0.0572
O27 0.7983 0.2005 0.8287
O28 0.2017 0.7995 0.1713
O29 0.7017 0.7005 0.8287
B8 0.5458 0.7220 0.7500
Mg16 0.4891 0.3480 0.6487
O30 0.8122 0.4927 0.3650
B9 0.9542 0.2220 0.7500
Mg17 0.9891 0.1520 0.1487
Mg18 0.5005 0.6314 0.5572
F4 0.3159 0.5577 0.2500
O31 0.3069 0.8158 0.9544
B10 0.4651 0.9256 0.9241
B11 0.0349 0.4256 0.5759
O32 0.7568 0.9455 0.9455
O33 0.7432 0.4455 0.9455
B12 0.9651 0.5744 0.4241
Mg19 0.4891 0.3480 0.8513
O34 0.3069 0.8158 0.5456
O35 0.1931 0.3158 0.5456
Mg20 0.9977 0.5802 0.7500
O36 0.2486 0.2528 0.7500

Properties
V = 698.3 Å³/cell

3.
## Ho2ErTmTl4 (PBE-GGA)

Data for an optimized crystal structure of Ho2ErTmTl4.

a b c (Å): 5.3340 5.3340 9.2610
angles (deg): 73.26 73.26 60.00
Positions (direct):
Ho1 0.2499 0.2499 0.2503
Tl1 0.6248 0.6248 0.1256
Er1 0.0000 0.0000 0.0000
Tm1 0.5000 0.5000 0.5000
Ho2 0.7501 0.7501 0.7497
Tl2 0.3752 0.3752 0.8744
Tl3 0.1252 0.1252 0.6243
Tl4 0.8748 0.8748 0.3757

Properties
formation energy = -0.314 eV/atom
V = 215.2 Å³/cell

4.
## TmTaGe (PBE-GGA)

Data for an optimized crystal structure of TmTaGe.

a b c (Å): 4.0128 4.0128 7.7068
angles (deg): 90.00 90.00 90.00
Site moments in Bohr magnetons follow the coordinates.
Positions (direct):
Tm1 0.5000 0.0000 0.1494  0.29
Tm2 0.0000 0.5000 0.8506  0.29
Ta1 0.5000 0.5000 0.5000  0.06
Ge1 0.5000 0.0000 0.7513  -0.01
Ge2 0.0000 0.5000 0.2487  -0.01
Ta2 0.0000 0.0000 0.5000  0.06

Properties
formation energy = -0.593 eV/atom
V = 124.1 Å³/cell

5.
## La2YScS6 (PBE-GGA)

Data for an optimized crystal structure of La2YScS6.

a b c (Å): 6.7063 7.3265 9.8565
angles (deg): 90.00 89.27 90.00
Positions (direct):
La1 0.9652 0.0929 0.7482
La2 0.5348 0.5929 0.7518
Sc1 0.0000 0.5000 0.5000
S1 0.1326 0.4555 0.7421
La3 0.0348 0.9071 0.2518
S2 0.6326 0.0445 0.2421
S3 0.6886 0.3169 0.5655
S4 0.8257 0.8058 0.5666
S5 0.1886 0.1831 0.0655
S6 0.3674 0.9555 0.7579
Y1 0.0000 0.5000 0.0000
S7 0.8114 0.8169 0.9345
La4 0.4652 0.4071 0.2482
Y2 0.5000 0.0000 0.5000
S8 0.1743 0.1942 0.4334
S9 0.3114 0.6831 0.4345
Sc2 0.5000 0.0000 0.0000
S10 0.8674 0.5445 0.2579
S11 0.6743 0.3058 0.9334
S12 0.3257 0.6942 0.0666

Properties
V = 484.2 Å³/cell

6.
## Sr3Sn3Pt (PBE-GGA)

Data for an optimized crystal structure of Sr3Sn3Pt.

a b c (Å): 4.8343 6.4089 15.1832
angles (deg): 84.66 80.84 67.84
Positions (direct):
Sn1 0.8442 0.7748 0.5368
Pt1 0.2461 0.8998 0.6081
Sr1 0.4008 0.2793 0.9191
Sr2 0.5263 0.3327 0.6147
Sr3 0.4737 0.6673 0.3853
Sn2 0.1126 0.8527 0.9220
Sr4 0.2557 0.2508 0.2378
Sn3 0.8874 0.1473 0.0780
Sn4 0.9596 0.8404 0.2405
Sr5 0.7443 0.7492 0.7622
Pt2 0.7539 0.1002 0.3919
Sr6 0.5992 0.7207 0.0809
Sn5 0.0404 0.1596 0.7595
Sn6 0.1558 0.2252 0.4632

Properties
formation energy = -0.752 eV/atom
V = 429.8 Å³/cell

7.
## TiI4 (PBE-GGA)

Data for an optimized crystal structure of TiI4.

a b c (Å): 8.5651 8.5651 6.9733
angles (deg): 88.90 88.90 62.37
Positions (direct):
I1 0.0400 0.7231 0.3906
I2 0.7041 0.5046 0.0696
I3 0.5046 0.7041 0.5696
I4 0.9600 0.2769 0.6094
I5 0.2769 0.9600 0.1094
I6 0.2959 0.4954 0.9304
Ti1 0.3487 0.6513 0.2500
I7 0.4954 0.2959 0.4304
Ti2 0.6513 0.3487 0.7500
I8 0.7231 0.0400 0.8906

Properties
polymorph energy (0 for the lowest one) = 0.2 meV/atom
V = 453.1 Å³/cell

8.
## LuTlPdPt (PBE-GGA)

Data for an optimized crystal structure of LuTlPdPt.

a b c (Å): 4.7894 4.7894 4.7894
angles (deg): 60.00 60.00 60.00
Positions (direct):
Tl1 0.0000 0.0000 0.0000
Lu1 0.5000 0.5000 0.5000
Pt1 0.7500 0.7500 0.7500
Pd1 0.2500 0.2500 0.2500

Properties
formation energy = -0.720 eV/atom
V = 77.7 Å³/cell

9.
## BeZnFe2 (PBE-GGA)

Data for an optimized crystal structure of BeZnFe2.

a b c (Å): 2.6338 2.6338 6.0084
angles (deg): 90.00 90.00 90.00
Positions (direct):
Zn1 0.0000 0.0000 0.5153
Fe1 0.5000 0.5000 0.2233
Be1 0.5000 0.5000 0.7766
Fe2 0.0000 0.0000 0.9849

Properties
polymorph energy (0 for the lowest one) = 87.0 meV/atom
formation energy = 0.009 eV/atom
V = 41.7 Å³/cell

10.
## Tb3SmPu2Se6 (PBE-GGA)

Data for an optimized crystal structure of Tb3SmPu2Se6.

a b c (Å): 7.1244 7.1244 7.1764
angles (deg): 99.52 99.52 120.05
Site moments in Bohr magnetons follow the coordinates.
Positions (direct):
Tb1 0.8342 0.1658 0.5000  0.02
Sm1 0.0000 0.0000 0.0000  0.06
Se1 0.0850 0.4206 0.2546  -0.03
Tb2 0.1658 0.8342 0.5000  0.02
Se2 0.4206 0.0850 0.2546  -0.03
Pu1 0.3332 0.6668 0.0000  5.47
Pu2 0.6668 0.3332 0.0000  5.47
Se3 0.9150 0.5794 0.7454  -0.03
Se4 0.5794 0.9150 0.7454  -0.03
Tb3 0.5000 0.5000 0.5000  0.01
Se5 0.2509 0.2509 0.7453  -0.03
Se6 0.7491 0.7491 0.2547  -0.03

Properties
V = 297.5 Å³/cell

11.
## LaEr6Tm12 (PBE-GGA)

Data for an optimized crystal structure of LaEr6Tm12.

a b c (Å): 9.1750 9.1750 9.1750
angles (deg): 107.45 107.45 107.45
Positions (direct):
Er1 0.3092 0.7311 0.3092
Tm1 0.5000 0.8888 0.1112
Er2 0.6908 0.6908 0.2689
Er3 0.7311 0.3092 0.3092
Tm2 0.3685 0.1473 0.3685
Er4 0.3092 0.3092 0.7311
Tm3 0.8527 0.6315 0.6315
Er5 0.2689 0.6908 0.6908
Er6 0.6908 0.2689 0.6908
Tm4 0.8888 0.5000 0.1112
Tm5 0.3685 0.3685 0.1473
Tm6 0.6315 0.6315 0.8527
Tm7 0.6315 0.8527 0.6315
Tm8 0.5000 0.1112 0.8888
Tm9 0.8888 0.1112 0.5000
Tm10 0.1112 0.8888 0.5000
Tm11 0.1473 0.3685 0.3685
Tm12 0.1112 0.5000 0.8888
La1 0.0000 0.0000 0.0000

Properties
polymorph energy (0 for the lowest one) = 266.3 meV/atom
formation energy = 0.430 eV/atom
V = 635.2 Å³/cell

12.
## Pu2UFe9 (PBE-GGA)

Data for an optimized crystal structure of Pu2UFe9.

a b c (Å): 4.8571 4.8571 8.9547
angles (deg): 74.26 74.26 60.00
Site moments in Bohr magnetons follow the coordinates.
Positions (direct):
Fe1 0.4185 0.4185 0.2453  -2.03
U1 0.0000 0.0000 0.0000  2.24
Fe2 0.9177 0.4185 0.2453  -2.03
Pu1 0.1406 0.1406 0.5782  5.15
Pu2 0.8594 0.8594 0.4218  5.15
Fe3 0.5815 0.0823 0.7547  -2.03
Fe4 0.6673 0.6673 0.9982  -2.07
Fe5 0.5815 0.5815 0.7547  -2.03
Fe6 0.4185 0.9177 0.2453  -2.03
Fe7 0.0823 0.5815 0.7547  -2.03
Fe8 0.3327 0.3327 0.0018  -2.07
Fe9 0.5000 0.5000 0.5000  -2.01

Properties
formation energy = -0.034 eV/atom
V = 173.7 Å³/cell

Magnetic moment across the listed records, respectively: 0.21 0.00 0.00 1.02 0.00 0.00 0.00 0.00 0.00 11.72 0.00 4.92 μB/cell.
Raw total energy across the listed records, respectively: -5.70 -6.88 -3.77 -7.57 -6.85 -4.05 -3.53 -5.25 -5.47 -7.41 -4.09 -9.71 eV per atom.